DFT (PBEsol) results for LiAl3In after structural relaxation.

The space group is Pm-3m (No. 221) and the conventional cell measures 4.616, 4.616 and 4.616 Å, with angles of 90.00, 90.00 and 90.00 degrees. The inequivalent atoms are Li at (0.000, 0.000, 0.000), Al at (0.000, 0.000, 0.500) and In at (0.500, 0.500, 0.500).

The density comes out at 3.42 g/cm3. The calculation puts the total magnetization at 0.00 μB per formula unit. The calculated formation energy is 0.450 eV per atom.